Entry 1:
# Pr4Ga3Pb

Crystalline Pr4Ga3Pb at its relaxed geometry (GGA-PBE, Alexandria).

```
Pr4Ga3Pb
1.0
4.601 0.000 0.000
0.000 4.297 0.000
0.000 0.000 11.561
Pr Ga Pb
4 3 1
direct
0.500 0.500 0.372
0.000 0.500 0.852
0.000 0.000 0.147
0.500 0.000 0.638
0.000 0.000 0.430
0.000 0.500 0.571
0.500 0.000 0.913
0.500 0.500 0.077
```

Formation enthalpy at 0 K   -0.570 eV/atom
Size of the total moment   0.096 μB/atom
Density of states at the Fermi level   8.03 states/eV per cell
Volume   28.6 A^3/atom
Final energy   -4.5581 eV per atom


Entry 2:
# Mg2GeH

Crystalline Mg2GeH at its relaxed geometry (GGA-PBE, Alexandria).

```
Mg2GeH
1.0
-2.591 -2.381 5.363
4.817 -4.268 0.432
3.420 4.216 3.524
Mg H Ge
8 4 4
direct
0.878 0.500 0.556
0.287 0.500 0.967
0.378 0.000 0.056
0.787 0.000 0.467
0.787 0.500 0.033
0.878 0.000 0.944
0.378 0.500 0.444
0.287 0.000 0.533
0.542 0.000 0.294
0.042 0.500 0.794
0.542 0.500 0.206
0.042 0.000 0.706
0.566 0.750 0.750
0.066 0.250 0.250
0.066 0.750 0.250
0.566 0.250 0.750
```

ΔE to the lowest computed polymorph   0 meV per atom
Size of the total moment   0.000 μB/atom
Density of states at the Fermi level   2.94 states/eV per cell
Volume   16.7 A^3/atom
Final energy   -2.9406 eV per atom


Entry 3:
# Mg2ReRu

Crystalline Mg2ReRu at its relaxed geometry (GGA-PBE, Alexandria).

```
Mg2ReRu
1.0
-3.460 6.239 -5.936
-4.401 3.889 -7.186
-5.882 5.063 -5.089
Re Ru Mg
1 1 2
direct
0.250 0.250 0.250
0.750 0.750 0.750
0.497 0.497 0.497
0.003 0.003 0.003
```

ΔE to the lowest computed polymorph   235 meV per atom
Formation enthalpy at 0 K   0.248 eV/atom
Size of the total moment   0.000 μB/atom
Density of states at the Fermi level   2.64 states/eV per cell
Volume   15.8 A^3/atom
Final energy   -5.9808 eV per atom


Entry 4:
# Y5ScCd3

Crystalline Y5ScCd3 at its relaxed geometry (GGA-PBE, Alexandria).

```
Y5ScCd3
1.0
6.827 0.000 0.000
0.000 9.151 0.000
0.000 -4.575 7.924
Cd Y Sc
6 10 2
direct
0.750 0.660 0.000
0.250 0.340 0.000
0.750 0.340 0.340
0.750 0.000 0.660
0.250 0.000 0.340
0.250 0.660 0.660
0.750 0.000 0.321
0.500 0.667 0.333
0.500 0.333 0.667
0.750 0.679 0.679
0.250 0.000 0.679
0.250 0.679 0.000
0.000 0.333 0.667
0.000 0.667 0.333
0.750 0.321 0.000
0.250 0.321 0.321
0.500 0.000 0.000
0.000 0.000 0.000
```

Formation enthalpy at 0 K   -0.203 eV/atom
Size of the total moment   0.000 μB/atom
Density of states at the Fermi level   10.56 states/eV per cell
Volume   27.5 A^3/atom
Final energy   -4.8031 eV per atom


Entry 5:
# TaTi3Mn

Crystalline TaTi3Mn at its relaxed geometry (GGA-PBE, Alexandria).

```
TaTi3Mn
1.0
3.045 -0.001 0.001
1.520 5.137 0.278
0.003 -0.377 10.103
Mn Ti Ta
2 6 2
direct
0.445 0.109 0.356
0.555 0.891 0.644
0.360 0.277 0.036
0.039 0.921 0.185
0.136 0.728 0.461
0.864 0.272 0.539
0.961 0.079 0.815
0.640 0.723 0.964
0.760 0.478 0.257
0.240 0.522 0.743
```

ΔE to the lowest computed polymorph   0 meV per atom
Formation enthalpy at 0 K   -0.086 eV/atom
Size of the total moment   0.000 μB/atom
Density of states at the Fermi level   10.83 states/eV per cell
Volume   15.8 A^3/atom
Final energy   -9.0275 eV per atom


Entry 6:
# LaRuPt

Crystalline LaRuPt at its relaxed geometry (GGA-PBE, Alexandria).

```
LaRuPt
1.0
-2.067 3.135 2.150
-2.258 -3.060 -2.062
0.061 -4.812 7.075
Ru La Pt
2 2 2
direct
0.667 0.333 0.099
0.333 0.667 0.111
0.000 0.000 0.856
0.667 0.333 0.447
0.000 0.000 0.239
0.333 0.667 0.654
```

Formation enthalpy at 0 K   -0.540 eV/atom
Size of the total moment   0.000 μB/atom
Density of states at the Fermi level   4.63 states/eV per cell
Volume   23.1 A^3/atom
Final energy   -7.2879 eV per atom


Entry 7:
# SrTlPt

Crystalline SrTlPt at its relaxed geometry (GGA-PBE, Alexandria).

```
SrTlPt
1.0
-1.385 5.941 -0.520
-2.625 2.936 -4.688
-0.379 -4.904 3.646
Pt Sr Tl
1 1 1
direct
0.982 0.982 0.000
0.655 0.655 0.000
0.363 0.363 0.000
```

Formation enthalpy at 0 K   -0.432 eV/atom
Size of the total moment   0.000 μB/atom
Density of states at the Fermi level   1.42 states/eV per cell
Volume   25.7 A^3/atom
Final energy   -3.7949 eV per atom


Entry 8:
# K3DySb2Te6

Crystalline K3DySb2Te6 at its relaxed geometry (GGA-PBE, Alexandria).

```
K3DySb2Te6
1.0
-0.708 -6.831 3.759
0.510 0.134 -7.811
8.273 1.670 1.876
K Te Dy Sb
3 6 1 2
direct
0.832 0.168 0.500
0.500 0.500 0.500
0.168 0.832 0.500
0.265 0.265 0.794
0.402 0.068 0.205
0.598 0.932 0.795
0.735 0.735 0.206
0.932 0.598 0.795
0.068 0.402 0.205
0.000 0.000 0.000
0.334 0.666 0.000
0.666 0.334 0.000
```

Size of the total moment   0.000 μB/atom
Volume   36.5 A^3/atom
Final energy   -3.7325 eV per atom
Uncorrected formation energy   -0.8167 eV per atom


Entry 9:
# LaCe3Sm2Bi6

Crystalline LaCe3Sm2Bi6 at its relaxed geometry (GGA-PBE, Alexandria).

```
LaCe3Sm2Bi6
1.0
-3.006 5.706 4.695
-4.850 -5.376 -3.349
3.458 -4.593 5.535
Sm Bi Ce La
2 6 3 1
direct
0.333 0.667 0.000
0.667 0.333 0.000
0.254 0.254 0.750
0.578 0.916 0.748
0.916 0.578 0.748
0.084 0.422 0.252
0.422 0.084 0.252
0.746 0.746 0.250
0.500 0.500 0.500
0.835 0.165 0.500
0.165 0.835 0.500
0.000 0.000 0.000
```

Formation enthalpy at 0 K   -0.882 eV/atom
Size of the total moment   0.214 μB/atom
Density of states at the Fermi level   20.09 states/eV per cell
Volume   34.6 A^3/atom
Final energy   -5.5026 eV per atom


Entry 10:
# KRb2Sn2Te4

Crystalline KRb2Sn2Te4 at its relaxed geometry (GGA-PBE, Alexandria).

```
KRb2Sn2Te4
1.0
5.697 0.000 0.000
-2.849 8.613 0.602
0.000 -2.492 7.596
K Te Rb Sn
1 4 2 2
direct
0.000 0.000 0.000
0.209 0.418 0.170
0.791 0.582 0.830
0.471 0.942 0.272
0.529 0.058 0.728
0.135 0.270 0.576
0.865 0.730 0.424
0.336 0.673 0.976
0.664 0.327 0.024
```

Size of the total moment   0.000 μB/atom
Density of states at the Fermi level   1.95 states/eV per cell
Volume   42.4 A^3/atom
Final energy   -3.2841 eV per atom
Uncorrected formation energy   -0.6613 eV per atom


Entry 11:
# TeOsN2

Crystalline TeOsN2 at its relaxed geometry (GGA-PBE, Alexandria).

```
TeOsN2
1.0
5.970 0.000 0.000
0.000 5.970 0.000
2.985 2.985 4.219
N Os Te
4 2 2
direct
0.875 0.127 0.750
0.873 0.625 0.250
0.375 0.123 0.750
0.877 0.125 0.250
0.000 0.000 0.000
0.750 0.250 0.500
0.250 0.750 0.500
0.500 0.500 0.000
```

Size of the total moment   0.000 μB/atom
Density of states at the Fermi level   5.80 states/eV per cell
Volume   18.8 A^3/atom
Final energy   -6.9645 eV per atom
Uncorrected formation energy   0.7911 eV per atom


Entry 12:
# K2TaAsRh

Crystalline K2TaAsRh at its relaxed geometry (GGA-PBE, Alexandria).

```
K2TaAsRh
1.0
-1.753 -5.419 1.593
2.885 -1.885 -3.236
4.345 -0.228 4.006
K Ta As Rh
2 1 1 1
direct
0.000 0.000 0.500
0.500 0.000 0.000
0.000 0.500 0.000
0.500 0.500 0.500
0.000 0.000 0.000
```

Formation enthalpy at 0 K   1.070 eV/atom
Size of the total moment   0.019 μB/atom
Density of states at the Fermi level   4.73 states/eV per cell
Volume   33.1 A^3/atom
Final energy   -4.1401 eV per atom